DFT (PBE-GGA) results for LaRe3Au after structural relaxation.

Structure (CIF):
```
data_LaRe3Au
_chemical_formula_sum 'La1 Re3 Au1'
_space_group_name_H-M_alt 'P m -3 m'
_space_group_IT_number 221
_space_group_name_Hall '-P 4 2 3'
_cell_length_a 4.798
_cell_length_b 4.798
_cell_length_c 4.798
_cell_angle_alpha 90.00
_cell_angle_beta 90.00
_cell_angle_gamma 90.00
loop_
_atom_site_label
_atom_site_type_symbol
_atom_site_fract_x
_atom_site_fract_y
_atom_site_fract_z
La1 La 0.000 0.000 0.000
Re1 Re 0.000 0.000 0.500
Au1 Au 0.500 0.500 0.500
```


DFT (PBE-GGA) results for LaRe2Au after structural relaxation.

energy above the lowest structure with this stoichiometry = 271 kJ/mol of formula units

Structure (CIF):
```
data_LaRe2Au
_chemical_formula_sum 'La2 Re4 Au2'
_space_group_name_H-M_alt 'I 4/m m m'
_space_group_IT_number 139
_space_group_name_Hall '-I 4 2'
_cell_length_a 4.099
_cell_length_b 4.099
_cell_length_c 9.394
_cell_angle_alpha 90.00
_cell_angle_beta 90.00
_cell_angle_gamma 90.00
loop_
_atom_site_label
_atom_site_type_symbol
_atom_site_fract_x
_atom_site_fract_y
_atom_site_fract_z
La1 La 0.000 0.000 0.000
Re1 Re 0.000 0.500 0.250
Au1 Au 0.000 0.000 0.500
```


DFT (PBE-GGA) results for LaRe2Au after structural relaxation.

energy above the lowest structure with this stoichiometry = 150 kJ/mol of formula units

Structure (CIF):
```
data_LaRe2Au
_chemical_formula_sum 'La2 Re4 Au2'
_space_group_name_H-M_alt 'C m m 2'
_space_group_IT_number 35
_cell_length_a 3.185
_cell_length_b 4.791
_cell_length_c 9.851
_cell_angle_alpha 90.00
_cell_angle_beta 90.00
_cell_angle_gamma 90.00
loop_
_space_group_symop_operation_xyz
'x,y,z'
'-x,-y,z'
'-x,y,z'
'x,-y,z'
'x+1/2,y+1/2,z'
'-x+1/2,-y+1/2,z'
'-x+1/2,y+1/2,z'
'x+1/2,-y+1/2,z'
loop_
_atom_site_label
_atom_site_type_symbol
_atom_site_fract_x
_atom_site_fract_y
_atom_site_fract_z
La1 La 0.000 0.000 0.000
Re1 Re 0.000 0.000 0.469
Re2 Re 0.000 0.500 0.266
Au1 Au 0.000 0.500 0.713
```


no.,DFT formation energy (eV per atom)
1,3.047
2,0.782
3,0.469